LaTb4Sm4 | Alexandria | GGA-PBE | optimized geometry; space group = No. 2; magnetic moment = 0.00 Bohr magnetons per cell; V = 300.53 Å³/f.u.; calculated formation energy = 18 meV per atom
1.0
6.260 0.000 0.000
1.038 9.511 0.000
3.128 2.394 10.096
La Tb Sm
2 8 8
direct
0.054 0.084 0.196
0.946 0.916 0.804
0.057 0.582 0.693
0.169 0.748 0.085
0.280 0.916 0.472
0.388 0.583 0.362
0.612 0.417 0.638
0.720 0.084 0.528
0.831 0.252 0.915
0.943 0.418 0.307
0.166 0.253 0.582
0.277 0.418 0.971
0.390 0.085 0.859
0.500 0.252 0.251
0.500 0.748 0.749
0.610 0.915 0.141
0.723 0.582 0.029
0.834 0.747 0.418


ReTc2P | Alexandria | GGA-PBE | optimized geometry; space group = No. 166; magnetic moment = 0.00 Bohr magnetons per cell; V = 56.24 Å³/f.u.; calculated formation energy = -80 meV per atom
1.0
1.404 0.811 8.233
-1.404 0.811 8.233
0.000 -1.622 8.233
Re Tc P
1 2 1
direct
0.000 0.000 0.000
0.244 0.244 0.244
0.756 0.756 0.756
0.500 0.500 0.500


CuTeAs2 | Alexandria | GGA-PBE | optimized geometry; space group = No. 10; magnetic moment = 0.00 Bohr magnetons per cell; E_form (uncorrected) = 102.9 meV/atom; V = 83.31 Å³/f.u.
1.0
4.642 0.000 0.000
0.000 3.923 0.000
-1.490 0.000 4.574
Cu Te As
1 1 2
direct
0.000 0.000 0.000
0.500 0.000 0.500
0.243 0.500 0.814
0.757 0.500 0.186